Record 1
{
  "formula": "ZrC",
  "functional": "PBE",
  "state": "relaxed",
  "relative_energy_ev_per_atom": 0.260,
  "space_group": "P6_3mc (186)",
  "formation_enthalpy_0k_ev_per_atom": -0.547,
  "lattice_angstrom": [[-3.225, -2.128, 0.550], [3.086, -0.494, 2.337], [-1.684, 3.309, 2.924]],
  "species": ["Zr", "Zr", "C", "C"],
  "frac_coords": [[0.333, 0.667, 0.787], [0.667, 0.333, 0.287], [0.333, 0.667, 0.295], [0.667, 0.333, 0.795]]
}

=====

Record 2
{
  "formula": "Cr2HBr2",
  "functional": "PBE",
  "state": "relaxed",
  "space_group": "P4/mbm (127)",
  "energy_ev_per_atom": -4.285,
  "lattice_angstrom": [[-4.612, -2.143, 5.606], [-1.074, -6.661, -3.429], [2.662, -1.301, 1.693]],
  "species": ["Cr", "Cr", "Cr", "Cr", "Br", "Br", "Br", "Br", "H", "H"],
  "frac_coords": [[0.087, 0.587, 0.500], [0.587, 0.913, 0.500], [0.913, 0.413, 0.500], [0.413, 0.087, 0.500], [0.316, 0.816, 0.000], [0.816, 0.684, 0.000], [0.684, 0.184, 0.000], [0.184, 0.316, 0.000], [0.000, 0.000, 0.000], [0.500, 0.500, 0.000]]
}

=====

Record 3
{
  "formula": "LaAl2IrO8",
  "functional": "PBE",
  "state": "relaxed",
  "formation_energy_uncorrected_ev_per_fu": -23.70,
  "space_group": "P2/m (10)",
  "lattice_angstrom": [[4.642, 0.017, -0.003], [0.058, 4.623, -0.005], [0.004, 0.007, 6.459]],
  "species": ["La", "Al", "Al", "Ir", "O", "O", "O", "O", "O", "O", "O", "O"],
  "frac_coords": [[0.000, 0.000, 0.500], [0.500, 0.500, 0.763], [0.500, 0.500, 0.237], [0.000, 0.000, 0.000], [0.213, 0.781, 0.207], [0.699, 0.703, 0.000], [0.787, 0.219, 0.207], [0.787, 0.219, 0.793], [0.301, 0.297, 0.000], [0.213, 0.781, 0.793], [0.657, 0.662, 0.500], [0.343, 0.338, 0.500]]
}

=====

Record 4
{
  "formula": "Cs4TbSm3Se8",
  "functional": "PBE",
  "state": "relaxed",
  "formation_energy_uncorrected_ev_per_fu": -27.68,
  "space_group": "R-3m (166)",
  "lattice_angstrom": [[8.670, 0.000, 0.000], [0.000, 9.746, 0.750], [-4.335, -4.332, 6.135]],
  "species": ["Cs", "Cs", "Cs", "Cs", "Tb", "Sm", "Sm", "Sm", "Se", "Se", "Se", "Se", "Se", "Se", "Se", "Se"],
  "frac_coords": [[0.500, 0.000, 0.000], [0.500, 0.000, 0.500], [0.000, 0.000, 0.000], [0.000, 0.000, 0.500], [0.000, 0.500, 0.000], [0.500, 0.500, 0.000], [0.500, 0.500, 0.500], [0.000, 0.500, 0.500], [0.227, 0.688, 0.960], [0.227, 0.688, 0.455], [0.270, 0.311, 0.540], [0.733, 0.688, 0.960], [0.267, 0.312, 0.040], [0.730, 0.689, 0.460], [0.773, 0.312, 0.545], [0.773, 0.312, 0.040]]
}

=====

Record 5
{
  "formula": "RbScBr2",
  "functional": "PBE",
  "state": "relaxed",
  "relative_energy_ev_per_atom": 0.091,
  "formation_energy_uncorrected_ev_per_fu": -3.75,
  "space_group": "I-42d (122)",
  "lattice_angstrom": [[6.988, 0.000, 0.000], [0.000, 6.988, 0.000], [3.494, 3.494, 7.005]],
  "species": ["Sc", "Sc", "Br", "Br", "Br", "Br", "Rb", "Rb"],
  "frac_coords": [[0.500, 0.500, 0.000], [0.250, 0.750, 0.500], [0.534, 0.125, 0.250], [0.216, 0.625, 0.250], [0.375, 0.466, 0.750], [0.875, 0.784, 0.750], [0.000, 0.000, 0.000], [0.750, 0.250, 0.500]]
}

=====

Record 6
{
  "formula": "ScFe3Ge2",
  "functional": "PBE",
  "state": "relaxed",
  "space_group": "P6/mmm (191)",
  "formation_enthalpy_0k_ev_per_atom": -0.309,
  "lattice_angstrom": [[-0.541, -1.319, 3.592], [-2.564, -3.965, -1.842], [5.018, -0.305, 0.644]],
  "species": ["Sc", "Fe", "Fe", "Fe", "Ge", "Ge"],
  "frac_coords": [[0.555, 0.000, 0.000], [0.055, 0.500, 0.500], [0.055, 0.500, 0.000], [0.055, 0.000, 0.500], [0.555, 0.667, 0.333], [0.555, 0.333, 0.667]]
}